The following is a PBE calculation of a relaxed structure of Cd3Ag2Pd2, from the Alexandria database.

## Properties
- DFT formation energy (meV per atom) = -196
- excess energy over the best structure of this formula in the dataset (kJ/mol of formula units) = 0

Cell: 3.935 21.945 2.986 Å, 90.00 90.00 90.00°
Space group Cmmm (No. 65)
Inequivalent atoms, fractional coordinates:
Cd: 0.000 0.000 0.000 [2 per cell]
Cd: 0.000 0.137 0.000 [4 per cell]
Ag: 0.000 0.295 0.500 [4 per cell]
Pd: 0.000 0.432 0.500 [4 per cell]